No. 1
# CdFeSe

An optimized crystal structure of CdFeSe (GGA-PBE, Alexandria via LeMat-Bulk). Values from VASP.

Its uncorrected energy is -4.135 eV per atom. The raw formation energy is 0.1524 eV/atom.

Structure (Quantum ESPRESSO input):
```
&SYSTEM
  ibrav = 0, nat = 3, ntyp = 3
/
ATOMIC_SPECIES
Cd 112.41 Cd.upf
Fe 55.84 Fe.upf
Se 78.96 Se.upf
ATOMIC_POSITIONS angstrom
Cd 0.309 -2.019 3.385
Fe -2.163 -1.467 1.637
Se -0.641 -2.950 0.604
CELL_PARAMETERS angstrom
-3.841 1.032 0.966
0.728 -3.430 -2.112
0.309 -2.019 3.386
```



No. 2
# CdFeSe2

An optimized crystal structure of CdFeSe2 (GGA-PBE, Alexandria via LeMat-Bulk). Values from VASP.

Its uncorrected energy is -3.970 eV per atom. The raw formation energy is 0.1164 eV/atom.

Structure (Quantum ESPRESSO input):
```
&SYSTEM
  ibrav = 0, nat = 4, ntyp = 3
/
ATOMIC_SPECIES
Fe 55.84 Fe.upf
Se 78.96 Se.upf
Cd 112.41 Cd.upf
ATOMIC_POSITIONS angstrom
Fe 0.000 0.000 0.000
Se 0.000 0.000 20.431
Se 0.000 0.000 2.286
Cd 0.000 0.000 11.359
CELL_PARAMETERS angstrom
2.380 0.000 7.572
-1.190 2.061 7.572
-1.190 -2.061 7.572
```



No. 3
# Sr2CdFeSe

An optimized crystal structure of Sr2CdFeSe (GGA-PBE, Alexandria via LeMat-Bulk). Values from VASP.

Its uncorrected energy is -3.314 eV per atom. The raw formation energy is -0.0690 eV/atom.

Structure (Quantum ESPRESSO input):
```
&SYSTEM
  ibrav = 0, nat = 5, ntyp = 4
/
ATOMIC_SPECIES
Sr 87.62 Sr.upf
Fe 55.84 Fe.upf
Se 78.96 Se.upf
Cd 112.41 Cd.upf
ATOMIC_POSITIONS angstrom
Sr 2.098 -0.315 1.836
Sr -1.223 1.854 1.714
Fe 0.000 0.000 0.000
Se -0.343 -0.264 4.633
Cd -1.218 -1.803 1.082
CELL_PARAMETERS angstrom
-2.445 3.708 3.429
-2.435 -3.607 2.164
4.195 -0.630 3.673
```



No. 4
# VCdFe2Se

An optimized crystal structure of VCdFe2Se (GGA-PBE, Alexandria via LeMat-Bulk). Values from VASP.

Its uncorrected energy is -4.442 eV per atom. The raw formation energy is 1.6463 eV/atom.

Structure (Quantum ESPRESSO input):
```
&SYSTEM
  ibrav = 0, nat = 5, ntyp = 4
/
ATOMIC_SPECIES
V 50.94 V.upf
Fe 55.84 Fe.upf
Se 78.96 Se.upf
Cd 112.41 Cd.upf
ATOMIC_POSITIONS angstrom
V 0.000 0.000 2.469
Fe 0.000 2.384 0.000
Fe 2.384 0.000 0.000
Se 2.384 2.384 2.469
Cd 0.000 0.000 0.000
CELL_PARAMETERS angstrom
4.768 0.000 0.000
0.000 4.768 0.000
0.000 0.000 4.939
```



No. 5
# Cd2FeSi

An optimized crystal structure of Cd2FeSi (GGA-PBE, Alexandria via LeMat-Bulk). Values from VASP.

Its uncorrected energy is -3.503 eV per atom. The raw formation energy is 0.4263 eV/atom.

Structure (Quantum ESPRESSO input):
```
&SYSTEM
  ibrav = 0, nat = 4, ntyp = 3
/
ATOMIC_SPECIES
Cd 112.41 Cd.upf
Fe 55.84 Fe.upf
Si 28.09 Si.upf
ATOMIC_POSITIONS angstrom
Cd 0.000 2.812 -0.010
Cd 0.000 1.388 2.366
Fe 2.580 0.676 1.192
Si 2.580 2.028 3.575
CELL_PARAMETERS angstrom
5.160 0.000 0.000
0.000 2.848 -0.026
0.000 -0.144 4.793
```



No. 6
# CdFeSi4

An optimized crystal structure of CdFeSi4 (GGA-PBE, Alexandria via LeMat-Bulk). Values from VASP.

Its uncorrected energy is -4.603 eV per atom. The raw formation energy is 0.5751 eV/atom.

Structure (Quantum ESPRESSO input):
```
&SYSTEM
  ibrav = 0, nat = 6, ntyp = 3
/
ATOMIC_SPECIES
Cd 112.41 Cd.upf
Fe 55.84 Fe.upf
Si 28.09 Si.upf
ATOMIC_POSITIONS angstrom
Cd 5.402 5.402 5.402
Fe 0.000 0.000 0.000
Si 2.693 4.510 4.510
Si 4.510 4.510 2.693
Si 4.510 2.693 4.510
Si 2.693 2.693 2.693
CELL_PARAMETERS angstrom
0.000 3.602 3.602
3.602 0.000 3.602
3.602 3.602 0.000
```